No. 1
DFT (PBE) results for a geometry-optimized AcGe3Pd structure.

abc: 6.337 5.836 6.172
angles: 90.00 90.00 90.00
Sites, in units of the cell vectors:
Ac 0.000 0.154 0.000
Ac 0.500 0.846 0.500
Ge 0.000 0.941 0.535
Ge 0.218 0.321 0.479
Ge 0.282 0.679 0.979
Ge 0.500 0.059 0.035
Ge 0.718 0.679 0.979
Ge 0.782 0.321 0.479
Pd 0.000 0.619 0.266
Pd 0.500 0.381 0.766

Values from the calculation:
Crystal system: orthorhombic
E_form: -0.550 eV/atom
E_tot: -5.180 eV per atom
ΔE to the lowest computed polymorph: 133 meV per atom

***

No. 2
DFT (PBE) results for a geometry-optimized Th2Ga3Pt5 structure.

abc: 8.669 8.669 8.669
angles: 97.43 95.41 140.94
Sites, in units of the cell vectors:
Th 0.129 0.226 0.355
Th 0.371 0.726 0.097
Th 0.629 0.274 0.903
Th 0.871 0.774 0.645
Ga 0.141 0.890 0.030
Ga 0.250 0.750 0.500
Ga 0.359 0.390 0.749
Ga 0.641 0.610 0.251
Ga 0.750 0.250 0.500
Ga 0.859 0.110 0.970
Pt 0.029 0.750 0.279
Pt 0.105 0.676 0.780
Pt 0.250 0.250 0.000
Pt 0.395 0.176 0.571
Pt 0.471 0.750 0.721
Pt 0.529 0.250 0.279
Pt 0.605 0.824 0.429
Pt 0.750 0.750 0.000
Pt 0.895 0.324 0.220
Pt 0.971 0.250 0.721

Values from the calculation:
Crystal system: orthorhombic
E_form: -0.966 eV/atom
E_tot: -6.378 eV per atom
ΔE to the lowest computed polymorph: 0 meV per atom

***

No. 3
DFT (PBE) results for a geometry-optimized NdTlCd structure.

abc: 5.004 7.554 8.742
angles: 90.00 90.00 90.00
Sites, in units of the cell vectors:
Nd 0.000 0.000 0.000
Nd 0.000 0.500 0.008
Nd 0.500 0.000 0.508
Nd 0.500 0.500 0.500
Tl 0.000 0.271 0.337
Tl 0.000 0.729 0.337
Tl 0.500 0.229 0.837
Tl 0.500 0.771 0.837
Cd 0.000 0.292 0.673
Cd 0.000 0.708 0.673
Cd 0.500 0.208 0.173
Cd 0.500 0.792 0.173

Values from the calculation:
Crystal system: orthorhombic
E_form: -0.330 eV/atom
E_tot: -3.013 eV per atom

***

No. 4
DFT (PBE) results for a geometry-optimized AlIrPd2 structure.

abc: 3.722 3.722 18.512
angles: 90.00 90.00 90.00
Sites, in units of the cell vectors:
Al 0.000 0.000 0.000
Al 0.000 0.500 0.250
Al 0.500 0.000 0.750
Al 0.500 0.500 0.500
Ir 0.000 0.000 0.500
Ir 0.000 0.500 0.750
Ir 0.500 0.000 0.250
Ir 0.500 0.500 0.000
Pd 0.250 0.250 0.125
Pd 0.250 0.250 0.625
Pd 0.250 0.750 0.375
Pd 0.250 0.750 0.875
Pd 0.750 0.250 0.375
Pd 0.750 0.250 0.875
Pd 0.750 0.750 0.125
Pd 0.750 0.750 0.625

Values from the calculation:
Crystal system: tetragonal
E_form: -0.053 eV/atom
E_tot: -5.800 eV per atom

***

No. 5
DFT (PBE) results for a geometry-optimized Li2Al3Ag structure.

abc: 5.384 5.384 7.248
angles: 99.22 99.22 93.52
Sites, in units of the cell vectors:
Li 0.122 0.627 0.875
Li 0.373 0.878 0.625
Li 0.627 0.122 0.375
Li 0.878 0.373 0.125
Al 0.084 0.916 0.250
Al 0.179 0.344 0.493
Al 0.344 0.179 0.993
Al 0.656 0.821 0.007
Al 0.821 0.656 0.507
Al 0.916 0.084 0.750
Ag 0.416 0.584 0.250
Ag 0.584 0.416 0.750

Values from the calculation:
Crystal system: monoclinic
E_form: -0.133 eV/atom
E_tot: -3.118 eV per atom

***

No. 6
DFT (PBE) results for a geometry-optimized Rb2ZnI structure.

abc: 9.786 9.786 9.399
angles: 90.00 90.00 90.00
Sites, in units of the cell vectors:
Rb 0.241 0.250 0.125
Rb 0.250 0.741 0.375
Rb 0.250 0.759 0.875
Rb 0.259 0.250 0.625
Rb 0.741 0.750 0.625
Rb 0.750 0.241 0.875
Rb 0.750 0.259 0.375
Rb 0.759 0.750 0.125
Zn 0.000 0.000 0.500
Zn 0.000 0.500 0.750
Zn 0.500 0.000 0.250
Zn 0.500 0.500 0.000
I 0.000 0.000 0.000
I 0.000 0.500 0.250
I 0.500 0.000 0.750
I 0.500 0.500 0.500

Values from the calculation:
Crystal system: tetragonal
E_tot: -1.641 eV per atom
ΔE to the lowest computed polymorph: 118 meV per atom

***

No. 7
DFT (PBE) results for a geometry-optimized Cs2PaTe6Pd2 structure.

abc: 8.340 8.340 8.825
angles: 118.75 118.75 60.19
Sites, in units of the cell vectors:
Cs 0.249 0.249 0.246
Cs 0.751 0.751 0.754
Pa 0.500 0.500 0.000
Te 0.255 0.255 0.742
Te 0.257 0.727 0.743
Te 0.273 0.743 0.257
Te 0.727 0.257 0.743
Te 0.743 0.273 0.257
Te 0.745 0.745 0.258
Pd 0.065 0.065 0.702
Pd 0.935 0.935 0.298

Values from the calculation:
Crystal system: monoclinic
E_tot: -4.196 eV per atom

***

No. 8
DFT (PBE) results for a geometry-optimized ThPa2Re structure.

abc: 3.453 3.453 8.186
angles: 90.00 90.00 90.00
Sites, in units of the cell vectors:
Th 0.000 0.000 0.000
Pa 0.500 0.500 0.288
Pa 0.500 0.500 0.712
Re 0.000 0.000 0.500

Values from the calculation:
Crystal system: tetragonal
E_form: 0.037 eV/atom
E_tot: -9.678 eV per atom
ΔE to the lowest computed polymorph: 0 meV per atom

***

No. 9
DFT (PBE) results for a geometry-optimized Pu2RuCl structure.

abc: 3.293 3.293 7.997
angles: 90.00 90.00 90.00
Sites, in units of the cell vectors:
Pu 0.000 0.000 0.222
Pu 0.000 0.000 0.778
Ru 0.500 0.500 0.000
Cl 0.500 0.500 0.500

Values from the calculation:
Crystal system: tetragonal
E_tot: -10.611 eV per atom
ΔE to the lowest computed polymorph: 0 meV per atom

***

No. 10
DFT (PBE) results for a geometry-optimized Nd12Tl6Ni structure.

abc: 8.547 8.547 8.547
angles: 94.11 94.11 94.11
Sites, in units of the cell vectors:
Nd 0.021 0.916 0.684
Nd 0.084 0.316 0.979
Nd 0.198 0.428 0.542
Nd 0.316 0.979 0.084
Nd 0.428 0.542 0.198
Nd 0.458 0.802 0.572
Nd 0.542 0.198 0.428
Nd 0.572 0.458 0.802
Nd 0.684 0.021 0.916
Nd 0.802 0.572 0.458
Nd 0.916 0.684 0.021
Nd 0.979 0.084 0.316
Tl 0.142 0.735 0.341
Tl 0.265 0.659 0.858
Tl 0.341 0.142 0.735
Tl 0.659 0.858 0.265
Tl 0.735 0.341 0.142
Tl 0.858 0.265 0.659
Ni 0.000 0.000 0.000

Values from the calculation:
Crystal system: trigonal
E_form: -0.174 eV/atom
E_tot: -4.236 eV per atom

***

No. 11
DFT (PBE) results for a geometry-optimized Na2SrHg8 structure.

abc: 9.185 9.185 5.564
angles: 106.34 106.34 125.70
Sites, in units of the cell vectors:
Na 0.182 0.818 0.000
Na 0.818 0.182 0.000
Sr 0.500 0.500 0.500
Hg 0.052 0.052 0.801
Hg 0.133 0.410 0.753
Hg 0.293 0.707 0.500
Hg 0.410 0.133 0.753
Hg 0.590 0.867 0.247
Hg 0.707 0.293 0.500
Hg 0.867 0.590 0.247
Hg 0.948 0.948 0.199

Values from the calculation:
Crystal system: monoclinic
E_form: -0.247 eV/atom
E_tot: -0.860 eV per atom

***

- E_tot of number 5 (Li2Al3Ag)?
  -3.118 eV per atom